## w
This record from the Alexandria database describes an optimized crystal structure of KIrI2O. The functional is PBE.

The calculation puts the density at 4.690 g/cm3.

The structure in POSCAR format:
```
KIrI2O
1.0
6.236 0.000 0.000
0.000 6.236 0.000
0.000 0.000 4.563
K Ir I O
1 1 2 1
Direct
0.000 0.000 0.000 K
0.500 0.500 0.500 Ir
0.000 0.500 0.000 I
0.500 0.000 0.000 I
0.000 0.000 0.500 O
```

=====

## x
This record from the Alexandria database describes an optimized crystal structure of KIrI2O. The functional is PBE.

The calculation puts the density at 6.325 g/cm3.

The structure in POSCAR format:
```
KIrI2O
1.0
5.879 0.000 0.000
0.000 5.879 0.000
0.000 0.000 3.806
K Ir I O
1 1 2 1
Direct
0.000 0.000 0.000 K
0.500 0.500 0.500 Ir
0.000 0.500 0.500 I
0.500 0.000 0.500 I
0.500 0.500 0.000 O
```

=====

Stability check: which of them is least stable? w.

=====

## w
This record from the Alexandria database describes an optimized crystal structure of LaIr2I. The functional is PBE.

The calculation puts the density at 12.455 g/cm3.

The structure in POSCAR format:
```
LaIr2I
1.0
0.000 3.513 3.513
3.513 0.000 3.513
3.513 3.513 0.000
La Ir I
1 2 1
Direct
0.000 0.000 0.000 La
0.250 0.250 0.250 Ir
0.750 0.750 0.750 Ir
0.500 0.500 0.500 I
```

=====

## x
This record from the Alexandria database describes an optimized crystal structure of LaIr2I. The functional is PBE.

The calculation puts the density at 10.096 g/cm3.

The structure in POSCAR format:
```
LaIr2I
1.0
-2.473 2.473 8.745
2.473 -2.473 8.745
2.473 2.473 -8.745
La Ir I
2 4 2
Direct
0.000 0.000 0.000 La
0.750 0.250 0.500 La
0.289 0.625 0.164 Ir
0.375 0.539 0.664 Ir
0.461 0.125 0.836 Ir
0.875 0.711 0.336 Ir
0.250 0.750 0.500 I
0.500 0.500 0.000 I
```

=====

Stability check: which of them is least stable? w.

=====

## w
This record from the Alexandria database describes an optimized crystal structure of La2IrI. The functional is PBE.

The calculation puts the density at 7.614 g/cm3.

The structure in POSCAR format:
```
La2IrI
1.0
2.124 1.227 8.328
-2.124 1.227 8.328
0.000 -2.453 8.328
La Ir I
2 1 1
Direct
0.000 0.000 0.000 La
0.211 0.211 0.211 La
0.605 0.605 0.605 Ir
0.774 0.774 0.774 I
```

=====

## x
This record from the Alexandria database describes an optimized crystal structure of La2IrI. The functional is PBE.

The calculation puts the density at 9.167 g/cm3.

The structure in POSCAR format:
```
La2IrI
1.0
0.000 3.781 3.781
3.781 0.000 3.781
3.781 3.781 0.000
La Ir I
2 1 1
Direct
0.250 0.250 0.250 La
0.750 0.750 0.750 La
0.000 0.000 0.000 Ir
0.500 0.500 0.500 I
```

=====

Stability check: which of them is least stable? x.

=====

## w
This record from the Alexandria database describes an optimized crystal structure of La2IrI. The functional is PBE.

The calculation puts the density at 7.658 g/cm3.

The structure in POSCAR format:
```
La2IrI
1.0
2.129 1.229 8.240
-2.129 1.229 8.240
0.000 -2.459 8.240
La Ir I
2 1 1
Direct
0.228 0.228 0.228 La
0.772 0.772 0.772 La
0.500 0.500 0.500 Ir
0.000 0.000 0.000 I
```

=====

## x
This record from the Alexandria database describes an optimized crystal structure of La2IrI. The functional is PBE.

The calculation puts the density at 8.779 g/cm3.

The structure in POSCAR format:
```
La2IrI
1.0
3.627 0.000 0.000
0.000 3.627 0.000
0.000 0.000 8.583
La Ir I
2 1 1
Direct
0.000 0.000 0.203 La
0.000 0.000 0.797 La
0.500 0.500 0.000 Ir
0.500 0.500 0.500 I
```

=====

## y
This record from the Alexandria database describes an optimized crystal structure of La2IrI. The functional is PBE.

The calculation puts the density at 7.250 g/cm3.

The structure in POSCAR format:
```
La2IrI
1.0
-4.014 4.014 4.244
4.014 -4.014 4.244
4.014 4.014 -4.244
La Ir I
4 2 2
Direct
0.063 0.625 0.938 La
0.375 0.313 0.438 La
0.687 0.125 0.062 La
0.875 0.937 0.562 La
0.000 0.000 0.000 Ir
0.750 0.250 0.500 Ir
0.250 0.750 0.500 I
0.500 0.500 0.000 I
```

=====

Stability check: which of them is least stable? y.

=====

## w
This record from the Alexandria database describes an optimized crystal structure of LaIrI2. The functional is PBE.

The calculation puts the density at 9.099 g/cm3.

The structure in POSCAR format:
```
LaIrI2
1.0
0.000 3.765 3.765
3.765 0.000 3.765
3.765 3.765 0.000
La Ir I
1 1 2
Direct
0.000 0.000 0.000 La
0.500 0.500 0.500 Ir
0.250 0.250 0.250 I
0.750 0.750 0.750 I
```

=====

## x
This record from the Alexandria database describes an optimized crystal structure of LaIrI2. The functional is PBE.

The calculation puts the density at 7.824 g/cm3.

The structure in POSCAR format:
```
LaIrI2
1.0
-2.590 2.590 9.256
2.590 -2.590 9.256
2.590 2.590 -9.256
La Ir I
2 2 4
Direct
0.000 0.000 0.000 La
0.750 0.250 0.500 La
0.250 0.750 0.500 Ir
0.500 0.500 0.000 Ir
0.169 0.625 0.044 I
0.375 0.419 0.544 I
0.581 0.125 0.956 I
0.875 0.831 0.456 I
```

=====

Stability check: which of them is least stable? w.

=====

## w
This record from the Alexandria database describes an optimized crystal structure of Li2IrI. The functional is PBE.

The calculation puts the density at 7.262 g/cm3.

The structure in POSCAR format:
```
Li2IrI
1.0
-3.738 3.738 2.725
3.738 -3.738 2.725
3.738 3.738 -2.725
Li Ir I
4 2 2
Direct
0.103 0.625 0.978 Li
0.375 0.353 0.478 Li
0.647 0.125 0.022 Li
0.875 0.897 0.522 Li
0.000 0.000 0.000 Ir
0.750 0.250 0.500 Ir
0.250 0.750 0.500 I
0.500 0.500 0.000 I
```

=====

## x
This record from the Alexandria database describes an optimized crystal structure of Li2IrI. The functional is PBE.

The calculation puts the density at 8.447 g/cm3.

The structure in POSCAR format:
```
Li2IrI
1.0
4.021 0.000 0.000
0.000 4.021 0.000
0.000 0.000 4.050
Li Ir I
2 1 1
Direct
0.000 0.500 0.000 Li
0.500 0.000 0.000 Li
0.000 0.000 0.500 Ir
0.500 0.500 0.500 I
```

=====

Stability check: which of them is least stable? w.